VASP calculation (GGA-PBE) on a relaxed AlCoRh2 crystal.

Calculated values
The total energy is -0.248 hartree per atom.

a b c (Å): 8.5526 2.7399 4.6542
angles (deg): 90.00 101.51 90.00
With the nearest neighbours (Å) after each atom.
Space group C2/m (No. 12)
Inequivalent atoms, fractional coordinates:
Al: 0.0000 0.0000 0.0000  6 Rh 2.60-2.66, 4 Co 2.70, 2 Al 2.74
Co: 0.0000 0.5000 0.5000  6 Rh 2.60-2.62, 4 Al 2.70, 2 Co 2.74
Rh: 0.2470 0.5000 0.2534  3 Al 2.60-2.66, 3 Co 2.60-2.62, 6 Rh 2.66-2.74


VASP calculation (GGA-PBE) on a relaxed AlCo2Rh crystal.

Calculated values
The total energy is -0.242 hartree per atom.

a b c (Å): 2.9179 4.1799 8.1618
angles (deg): 90.00 90.00 90.00
With the nearest neighbours (Å) after each atom.
Space group Imm2 (No. 44)
Inequivalent atoms, fractional coordinates:
Al: 0.0000 0.0000 0.0000  6 Co 2.46-2.55, 2 Rh 2.52
Co: 0.0000 0.0000 0.5162  2 Co 2.45, 4 Al 2.55, 2 Rh 2.61
Co: 0.0000 0.5000 0.2573  2 Co 2.45, 2 Al 2.46, 4 Rh 2.55
Rh: 0.0000 0.5000 0.7514  2 Al 2.52, 6 Co 2.55-2.61


VASP calculation (GGA-PBE) on a relaxed Al2CoRh crystal.

Calculated values
The total energy is -0.206 hartree per atom.

a b c (Å): 6.4398 6.4398 5.5368
angles (deg): 90.00 90.00 90.00
With the nearest neighbours (Å) after each atom.
Space group I-42d (No. 122)
Inequivalent atoms, fractional coordinates:
Al: 0.2358 0.2500 0.1250  2 Co 2.32, 2 Rh 2.44
Co: 0.0000 0.0000 0.0000  4 Al 2.32
Rh: 0.0000 0.0000 0.5000  4 Al 2.44


VASP calculation (GGA-PBE) on a relaxed Al2Co2Rh crystal.

Calculated values
The total energy is -0.225 hartree per atom.

a b c (Å): 6.7695 6.7695 2.7606
angles (deg): 90.00 90.00 90.00
With the nearest neighbours (Å) after each atom.
Space group P4/mbm (No. 127)
Inequivalent atoms, fractional coordinates:
Al: 0.1780 0.3220 0.0000  6 Co 2.37-2.48
Co: 0.1205 0.6205 0.5000  1 Co 2.31, 6 Al 2.37-2.48
Rh: 0.0000 0.0000 0.5000  4 Co 2.70, 2 Rh 2.76, 8 Al 2.85


VASP calculation (GGA-PBE) on a relaxed AlCo2Rh crystal.

Calculated values
The total energy is -0.240 hartree per atom.

a b c (Å): 5.1337 7.1657 2.6741
angles (deg): 90.00 90.00 90.00
With the nearest neighbours (Å) after each atom.
Space group Cmmm (No. 65)
Inequivalent atoms, fractional coordinates:
Al: 0.0000 0.0000 0.0000  2 Rh 2.57, 8 Co 2.58, 2 Al 2.67
Co: 0.2500 0.2500 0.5000  4 Co 2.57-2.67, 4 Al 2.58, 4 Rh 2.58
Rh: 0.0000 0.5000 0.0000  2 Al 2.57, 8 Co 2.58, 2 Rh 2.67


VASP calculation (GGA-PBE) on a relaxed AlCo2Rh crystal.

Calculated values
The total energy is -0.235 hartree per atom.

a b c (Å): 2.6704 2.6704 24.5580
angles (deg): 90.00 90.00 120.00
With the nearest neighbours (Å) after each atom.
Space group R-3m (No. 166, hexagonal axes)
Inequivalent atoms, fractional coordinates:
Al: 0.0000 0.0000 0.0000  6 Co 2.52, 6 Al 2.67
Co: 0.0000 0.0000 0.2520  3 Al 2.52, 3 Rh 2.60, 6 Co 2.67
Rh: 0.0000 0.0000 0.5000  6 Co 2.60, 6 Rh 2.67


VASP calculation (GGA-PBE) on a relaxed AlCoRh2 crystal.

Calculated values
The total energy is -0.247 hartree per atom.

a b c (Å): 2.8462 2.8462 6.5252
angles (deg): 90.00 90.00 90.00
With the nearest neighbours (Å) after each atom.
Space group P4mm (No. 99)
Inequivalent atoms, fractional coordinates:
Al: 0.0000 0.0000 0.0000  4 Co 2.50, 4 Rh 2.53
Co: 0.5000 0.5000 0.2265  4 Al 2.50, 4 Rh 2.56
Rh: 0.0000 0.0000 0.4694  4 Co 2.56, 8 Rh 2.79-2.85
Rh: 0.5000 0.5000 0.7650  4 Al 2.53, 4 Rh 2.79


VASP calculation (GGA-PBE) on a relaxed AlCoRh2 crystal.

Calculated values
The total energy is -0.249 hartree per atom.

a b c (Å): 9.0929 2.7910 4.4039
angles (deg): 90.00 108.24 90.00
With the nearest neighbours (Å) after each atom.
Space group Cm (No. 8)
Inequivalent atoms, fractional coordinates:
Al: 0.0000 0.0000 0.0000  7 Rh 2.56-2.63, 2 Co 2.61, 2 Al 2.79
Co: 0.2637 0.0000 0.6604  7 Rh 2.56-2.62, 2 Al 2.61, 2 Co 2.79
Rh: 0.0157 0.5000 0.5152  3 Co 2.56, 4 Al 2.59-2.63, 4 Rh 2.79-2.83
Rh: 0.2478 0.5000 0.1517  3 Al 2.56-2.58, 4 Co 2.60-2.62, 4 Rh 2.79-2.83


Spin magnetization values, unit μB/cell, following the record order: 3.4, 6.5, 0.0, 0.0, 4.1, 10.4, 2.4, 4.3.
ΔE_f values, unit meV/atom, following the record order: -347.3, -255.4, -131.8, -316.3, -209.5, -69.1, -329.8, -398.7.